Entry from the Alexandria database: a crystal of LiNiP2O7 relaxed with PBEsol (meta-GGA SCAN).

Geometry as POSCAR:
```
LiNiP2O7
1.0
4.607 -3.905 0.000
4.607 3.905 0.000
-3.906 0.000 12.947
Li Ni P O
4 4 8 28
direct
0.212 0.219 0.325
0.219 0.212 0.825
0.781 0.788 0.175
0.788 0.781 0.675
0.139 0.416 0.136
0.416 0.139 0.636
0.584 0.861 0.364
0.861 0.584 0.864
0.129 0.726 0.367
0.265 0.650 0.593
0.274 0.871 0.133
0.350 0.735 0.907
0.650 0.265 0.093
0.726 0.129 0.867
0.735 0.350 0.407
0.871 0.274 0.633
0.077 0.720 0.116
0.081 0.704 0.653
0.121 0.176 0.666
0.146 0.656 0.474
0.176 0.121 0.166
0.184 0.550 0.878
0.205 0.521 0.289
0.280 0.923 0.384
0.296 0.919 0.847
0.344 0.854 0.026
0.389 0.403 0.583
0.403 0.389 0.083
0.450 0.816 0.622
0.479 0.795 0.211
0.521 0.205 0.789
0.550 0.184 0.378
0.597 0.611 0.917
0.611 0.597 0.417
0.656 0.146 0.974
0.704 0.081 0.153
0.720 0.077 0.616
0.795 0.479 0.711
0.816 0.450 0.122
0.824 0.879 0.834
0.854 0.344 0.526
0.879 0.824 0.334
0.919 0.296 0.347
0.923 0.280 0.884
```

## Properties
E above lowest polymorph = 0.60 eV per formula unit
mass density = 3.4 g/cm³
ΔE_f (raw) = -2.115 eV per atom
VASP energy = -0.355 hartree per atom